Here is an optimized crystal structure of GdRe4Si2 from Alexandria via LeMat-Bulk. Energies are from PBE-GGA.

Cell: 7.4278 7.4278 4.1361 Å, 90.00 90.00 90.00°
Space group P4_2/mnm (No. 136)
Inequivalent atoms, fractional coordinates:
Gd1 0.0000 0.0000 0.0000 [2 per cell]
Re1 0.0932 0.3418 0.5000 [8 per cell]
Si1 0.2088 0.7912 0.5000 [4 per cell]

- VASP energy (eV/atom) = -11.14
- size of the total moment (μB per formula unit) = 7.1
- ρ (g cm⁻³) = 13.95
- E_form (uncorrected) (eV per formula unit) = -3.24